{"formula": "Ti4ZnRh", "functional": "PBE", "state": "relaxed", "e_above_lowest_polymorph_mev_per_atom": 437.3, "spacegroup": "P4/mmm (123)", "delta_e_f_mev_per_atom": 50, "lattice": [[4.243, 0.000, -0.001], [0.000, 4.244, -0.002], [0.003, 0.005, 6.132]], "species": ["Ti", "Ti", "Ti", "Ti", "Zn", "Rh"], "fractional_positions": [[0.501, 0.997, 0.254], [0.001, 0.497, 0.742], [0.501, 0.998, 0.742], [0.001, 0.497, 0.254], [0.501, 0.497, 0.998], [0.001, 0.997, 0.498]]}

***

{"formula": "TiZn2Rh2", "functional": "PBE", "state": "relaxed", "e_above_lowest_polymorph_mev_per_atom": 0.0, "spacegroup": "P-3m1 (164)", "delta_e_f_mev_per_atom": -390, "lattice": [[3.688, 0.000, -2.076], [-0.664, 5.042, -1.180], [-0.106, 0.952, 4.126]], "species": ["Rh", "Rh", "Zn", "Zn", "Ti"], "fractional_positions": [[0.833, 0.848, 0.167], [0.167, 0.152, 0.833], [0.166, 0.640, 0.833], [0.834, 0.360, 0.167], [0.500, 0.000, 0.500]]}

***

{"formula": "TiZn4Rh5", "functional": "PBE", "state": "relaxed", "spacegroup": "P4/mmm (123)", "delta_e_f_mev_per_atom": -535, "lattice": [[-1.225, 0.635, 2.737], [-1.330, -2.761, 0.045], [12.052, -5.698, 6.717]], "species": ["Rh", "Rh", "Rh", "Rh", "Rh", "Zn", "Zn", "Zn", "Zn", "Ti"], "fractional_positions": [[0.500, 0.500, 0.700], [0.500, 0.500, 0.500], [0.500, 0.500, 0.099], [0.500, 0.500, 0.901], [0.500, 0.500, 0.300], [0.000, 0.000, 0.401], [0.000, 0.000, 0.599], [0.000, 0.000, 0.795], [0.000, 0.000, 0.205], [0.000, 0.000, 0.000]]}